(1)
# KAg4Pb3Cl12 (GGA-PBE, relaxed)
data_KAg4Pb3Cl12
_chemical_formula_sum 'K1 Ag4 Pb3 Cl12'
_cell_length_a 9.394
_cell_length_b 9.394
_cell_length_c 9.394
_cell_angle_alpha 107.32
_cell_angle_beta 107.32
_cell_angle_gamma 107.32
_symmetry_space_group_name_H-M 'P 1'
_symmetry_Int_Tables_number 1
loop_
_symmetry_equiv_pos_as_xyz
'x,y,z'
loop_
_atom_site_label
_atom_site_fract_x
_atom_site_fract_y
_atom_site_fract_z
Pb1 0.559 0.441 0.000
Pb2 0.441 0.000 0.559
Pb3 0.000 0.559 0.441
Cl1 0.096 0.904 0.500
Cl2 0.767 0.012 0.655
Cl3 0.338 0.662 0.500
Cl4 0.345 0.988 0.233
Cl5 0.655 0.767 0.012
Cl6 0.988 0.233 0.345
Cl7 0.012 0.655 0.767
Cl8 0.233 0.345 0.988
Cl9 0.904 0.500 0.096
Cl10 0.662 0.500 0.338
Cl11 0.500 0.096 0.904
Cl12 0.500 0.338 0.662
K1 0.000 0.000 0.000
Ag1 0.500 0.500 0.500
Ag2 0.924 0.076 0.500
Ag3 0.500 0.924 0.076
Ag4 0.076 0.500 0.924
# SG: R32, No. 155
# calculated total energy: -3.1554 eV/atom
# formation energy (no corrections): -0.87 eV/atom
# volume: 34.2 Å³ per atom

***

(2)
# Nd3CuPd3 (GGA-PBE, relaxed)
data_Nd3CuPd3
_chemical_formula_sum 'Nd3 Cu1 Pd3'
_cell_length_a 4.333
_cell_length_b 3.917
_cell_length_c 10.073
_cell_angle_alpha 101.21
_cell_angle_beta 102.42
_cell_angle_gamma 90.00
_symmetry_space_group_name_H-M 'P 1'
_symmetry_Int_Tables_number 1
loop_
_symmetry_equiv_pos_as_xyz
'x,y,z'
loop_
_atom_site_label
_atom_site_fract_x
_atom_site_fract_y
_atom_site_fract_z
Nd1 0.001 0.001 0.001
Nd2 0.682 0.182 0.364
Nd3 0.315 0.815 0.630
Pd1 0.155 0.655 0.310
Pd2 0.562 0.562 0.125
Pd3 0.852 0.352 0.705
Cu1 0.432 0.432 0.865
# SG: Imm2, No. 44
# calculated total energy: -5.5163 eV/atom
# DFT formation energy: -662 meV per atom
# volume: 23.4 Å³ per atom

***

(3)
# NdPuMg4 (GGA-PBE, relaxed)
data_NdPuMg4
_chemical_formula_sum 'Nd1 Pu1 Mg4'
_cell_length_a 6.088
_cell_length_b 6.088
_cell_length_c 6.088
_cell_angle_alpha 60.00
_cell_angle_beta 60.00
_cell_angle_gamma 60.00
_symmetry_space_group_name_H-M 'P 1'
_symmetry_Int_Tables_number 1
loop_
_symmetry_equiv_pos_as_xyz
'x,y,z'
loop_
_atom_site_label
_atom_site_fract_x
_atom_site_fract_y
_atom_site_fract_z
Mg1 0.625 0.625 0.124
Mg2 0.625 0.625 0.625
Mg3 0.124 0.625 0.625
Mg4 0.625 0.124 0.625
Nd1 0.000 0.000 0.000
Pu1 0.250 0.250 0.250
# SG: F-43m, No. 216
# calculated total energy: -4.2128 eV/atom
# DFT formation energy: 34 meV per atom
# volume: 26.6 Å³ per atom

***

(4)
# AsP2Os (GGA-PBE, relaxed)
data_AsP2Os
_chemical_formula_sum 'As1 P2 Os1'
_cell_length_a 7.296
_cell_length_b 7.296
_cell_length_c 7.296
_cell_angle_alpha 25.34
_cell_angle_beta 25.34
_cell_angle_gamma 25.34
_symmetry_space_group_name_H-M 'P 1'
_symmetry_Int_Tables_number 1
loop_
_symmetry_equiv_pos_as_xyz
'x,y,z'
loop_
_atom_site_label
_atom_site_fract_x
_atom_site_fract_y
_atom_site_fract_z
P1 0.993 0.993 0.993
P2 0.264 0.264 0.264
Os1 0.749 0.749 0.749
As1 0.494 0.494 0.494
# SG: R3m, No. 160
# calculated total energy: -6.4125 eV/atom
# DFT formation energy: 262 meV per atom
# volume: 15.6 Å³ per atom

***

(5)
# CsCu2SbBr8 (GGA-PBE, relaxed)
data_CsCu2SbBr8
_chemical_formula_sum 'Cs1 Cu2 Sb1 Br8'
_cell_length_a 6.766
_cell_length_b 6.766
_cell_length_c 10.637
_cell_angle_alpha 88.49
_cell_angle_beta 88.49
_cell_angle_gamma 69.87
_symmetry_space_group_name_H-M 'P 1'
_symmetry_Int_Tables_number 1
loop_
_symmetry_equiv_pos_as_xyz
'x,y,z'
loop_
_atom_site_label
_atom_site_fract_x
_atom_site_fract_y
_atom_site_fract_z
Br1 0.760 0.253 0.185
Br2 0.753 0.753 0.008
Br3 0.673 0.673 0.420
Br4 0.747 0.240 0.815
Br5 0.240 0.747 0.815
Br6 0.247 0.247 0.992
Br7 0.327 0.327 0.580
Br8 0.253 0.760 0.185
Cu1 0.354 0.354 0.795
Cu2 0.646 0.646 0.205
Cs1 0.000 0.000 0.500
Sb1 0.000 0.000 0.000
# SG: C2/m, No. 12
# calculated total energy: -2.8255 eV/atom
# formation energy (no corrections): -0.61 eV/atom
# volume: 38.1 Å³ per atom

***

(6)
# PuPaRh2 (GGA-PBE, relaxed)
data_PuPaRh2
_chemical_formula_sum 'Pu1 Pa1 Rh2'
_cell_length_a 5.935
_cell_length_b 5.935
_cell_length_c 3.936
_cell_angle_alpha 70.67
_cell_angle_beta 70.67
_cell_angle_gamma 36.00
_symmetry_space_group_name_H-M 'P 1'
_symmetry_Int_Tables_number 1
loop_
_symmetry_equiv_pos_as_xyz
'x,y,z'
loop_
_atom_site_label
_atom_site_fract_x
_atom_site_fract_y
_atom_site_fract_z
Pu1 0.085 0.085 0.069
Rh1 0.337 0.337 0.314
Rh2 0.645 0.645 0.512
Pa1 0.906 0.906 0.746
# SG: Cm, No. 8
# calculated total energy: -9.7984 eV/atom
# DFT formation energy: -166 meV per atom
# polymorph energy (0 for the lowest one): 39.10 kJ/mol of atoms
# volume: 19.1 Å³ per atom